Tl2NiAgF6: optimized geometry, PBE with a Hubbard U.

DOS at the Fermi energy: 0.35 states/eV/f.u.
SG: C2/m, No. 12
total DFT energy (no corrections): -3.861 eV per atom
crystal system: monoclinic

Unit cell a=5.9475 b=5.9481 c=9.0262 alpha=90.00 beta=89.99 gamma=90.00
Each line ends with the local moment (μB).
Element x y z (fractional)
1 Tl 0.9999 0.9999 0.2500  0.00
2 Tl 0.4999 0.5001 0.7500  0.00
3 Tl 0.0001 0.0001 0.7500  0.00
4 Tl 0.5001 0.4999 0.2500  0.00
5 Ni 0.5000 0.0000 0.5000  1.74
6 Ni 0.0000 0.5000 0.0000  1.74
7 Ag 0.5000 0.0000 0.0000  -0.47
8 Ag 0.0000 0.5000 0.5000  -0.47
9 F 0.2417 0.7415 0.0005  -0.07
10 F 0.7417 0.7586 0.5005  -0.07
11 F 0.7583 0.2586 0.9995  -0.07
12 F 0.2583 0.2414 0.4995  -0.07
13 F 0.2586 0.7583 0.4995  -0.07
14 F 0.7586 0.7417 0.9995  -0.07
15 F 0.7414 0.2417 0.5005  -0.07
16 F 0.2414 0.2583 0.0005  -0.07
17 F 0.9989 0.5000 0.2191  -0.01
18 F 0.4989 0.0000 0.7191  -0.01
19 F 0.0011 0.5000 0.7809  -0.01
20 F 0.5011 0.0000 0.2809  -0.01